! KIn3Ga6Co2 (PBE, optimized geometry); values from VASP
! - magnetization (μB per formula unit) = 0.00
! - electronic total energy (eV per atom) = -3.55
! - volume (Å³ per cell) = 253
&SYSTEM
  ibrav = 0, nat = 12, ntyp = 4
/
ATOMIC_SPECIES
Co 58.93 Co.upf
Ga 69.72 Ga.upf
In 114.82 In.upf
K 39.10 K.upf
CELL_PARAMETERS angstrom
8.5815 0.0000 0.0000
-4.2908 7.4318 0.0000
0.0000 0.0000 3.9705
ATOMIC_POSITIONS crystal
Co 0.3333 0.6667 0.0000
Co 0.6667 0.3333 0.0000
Ga 0.7828 0.2172 0.5000
Ga 0.7828 0.5657 0.5000
Ga 0.5657 0.7828 0.5000
Ga 0.2172 0.7828 0.5000
Ga 0.2172 0.4343 0.5000
Ga 0.4343 0.2172 0.5000
In 0.0000 0.5000 0.0000
In 0.5000 0.5000 0.0000
In 0.5000 0.0000 0.0000
K 0.0000 0.0000 0.0000

! RbIn6Ga3Co2 (PBE, optimized geometry); values from VASP
! - magnetization (μB per formula unit) = 0.00
! - electronic total energy (eV per atom) = -3.55
! - volume (Å³ per cell) = 263
&SYSTEM
  ibrav = 0, nat = 12, ntyp = 4
/
ATOMIC_SPECIES
In 114.82 In.upf
Ga 69.72 Ga.upf
Co 58.93 Co.upf
Rb 85.47 Rb.upf
CELL_PARAMETERS angstrom
8.4752 0.0000 0.0000
-4.2376 7.3398 0.0000
0.0000 0.0000 4.2218
ATOMIC_POSITIONS crystal
In 0.7918 0.2082 0.5000
In 0.2082 0.4164 0.5000
In 0.5836 0.7918 0.5000
In 0.2082 0.7918 0.5000
In 0.7918 0.5836 0.5000
In 0.4164 0.2082 0.5000
Ga 0.5000 0.0000 0.0000
Ga 0.0000 0.5000 0.0000
Ga 0.5000 0.5000 0.0000
Co 0.3333 0.6667 0.0000
Co 0.6667 0.3333 0.0000
Rb 0.0000 0.0000 0.0000

! RbIn3Ga6Co2 (PBE, optimized geometry); values from VASP
! - magnetization (μB per formula unit) = 0.00
! - electronic total energy (eV per atom) = -3.54
! - volume (Å³ per cell) = 256
&SYSTEM
  ibrav = 0, nat = 12, ntyp = 4
/
ATOMIC_SPECIES
In 114.82 In.upf
Co 58.93 Co.upf
Ga 69.72 Ga.upf
Rb 85.47 Rb.upf
CELL_PARAMETERS angstrom
8.6159 0.0000 0.0000
-4.3079 7.4616 0.0000
0.0000 0.0000 3.9865
ATOMIC_POSITIONS crystal
In 0.0000 0.5000 0.0000
In 0.5000 0.5000 0.0000
In 0.5000 0.0000 0.0000
Co 0.3333 0.6667 0.0000
Co 0.6667 0.3333 0.0000
Ga 0.2182 0.7818 0.5000
Ga 0.7818 0.5636 0.5000
Ga 0.5636 0.7818 0.5000
Ga 0.2182 0.4364 0.5000
Ga 0.7818 0.2182 0.5000
Ga 0.4364 0.2182 0.5000
Rb 0.0000 0.0000 0.0000

! SmIn4GaCo (PBE, optimized geometry); values from VASP
! - magnetization (μB per formula unit) = 0.00
! - electronic total energy (eV per atom) = -3.97
! - volume (Å³ per cell) = 154
&SYSTEM
  ibrav = 0, nat = 7, ntyp = 4
/
ATOMIC_SPECIES
In 114.82 In.upf
Sm 150.36 Sm.upf
Ga 69.72 Ga.upf
Co 58.93 Co.upf
CELL_PARAMETERS angstrom
4.5213 0.0000 0.0000
0.0000 4.5213 0.0000
0.0000 0.0000 7.5131
ATOMIC_POSITIONS crystal
In 0.5000 0.0000 0.3052
In 0.5000 0.0000 0.6948
In 0.0000 0.5000 0.3052
In 0.0000 0.5000 0.6948
Sm 0.0000 0.0000 0.0000
Ga 0.5000 0.5000 0.0000
Co 0.0000 0.0000 0.5000

! Tm2In6Ga2Co (PBE, optimized geometry); values from VASP
! - magnetization (μB per formula unit) = 0.00
! - distance to the lowest polymorph of the same formula (eV per atom) = 0.000
! - electronic total energy (eV per atom) = -3.80
! - volume (Å³ per cell) = 240
&SYSTEM
  ibrav = 0, nat = 11, ntyp = 4
/
ATOMIC_SPECIES
Co 58.93 Co.upf
In 114.82 In.upf
Tm 168.93 Tm.upf
Ga 69.72 Ga.upf
CELL_PARAMETERS angstrom
-0.4028 -0.4613 4.4863
3.3720 -3.0219 -0.0080
7.7571 8.6515 1.5860
ATOMIC_POSITIONS crystal
Co 0.0000 0.0000 0.0000
In 0.0000 0.5000 0.8750
In 0.5000 0.0000 0.8750
In 0.5000 0.5000 0.6790
In 0.5000 0.0000 0.1250
In 0.5000 0.5000 0.3210
In 0.0000 0.5000 0.1250
Tm 0.0000 0.0000 0.3241
Tm 0.0000 0.0000 0.6759
Ga 0.0000 0.5000 0.5000
Ga 0.5000 0.0000 0.5000

! TmIn4GaCo (PBE, optimized geometry); values from VASP
! - magnetization (μB per formula unit) = 0.00
! - electronic total energy (eV per atom) = -3.88
! - volume (Å³ per cell) = 150
&SYSTEM
  ibrav = 0, nat = 7, ntyp = 4
/
ATOMIC_SPECIES
Co 58.93 Co.upf
In 114.82 In.upf
Ga 69.72 Ga.upf
Tm 168.93 Tm.upf
CELL_PARAMETERS angstrom
-0.1361 2.4258 -3.7733
-4.2127 -1.3660 -0.7263
-2.5506 5.8258 3.8373
ATOMIC_POSITIONS crystal
Co 0.0000 0.0000 0.5000
In 0.5000 0.0000 0.3022
In 0.0000 0.5000 0.6978
In 0.5000 0.0000 0.6978
In 0.0000 0.5000 0.3022
Ga 0.5000 0.5000 0.0000
Tm 0.0000 0.0000 0.0000

! Tm2In4Ga4Co (PBE, optimized geometry); values from VASP
! - magnetization (μB per formula unit) = 0.01
! - distance to the lowest polymorph of the same formula (eV per atom) = 0.000
! - electronic total energy (eV per atom) = -3.92
! - volume (Å³ per cell) = 225
&SYSTEM
  ibrav = 0, nat = 11, ntyp = 4
/
ATOMIC_SPECIES
In 114.82 In.upf
Ga 69.72 Ga.upf
Tm 168.93 Tm.upf
Co 58.93 Co.upf
CELL_PARAMETERS angstrom
-2.1096 -2.7158 -2.7728
2.9036 -3.1986 0.9237
-6.7226 -3.6057 8.6462
ATOMIC_POSITIONS crystal
In 0.5000 0.5000 0.2928
In 0.0000 0.5000 0.5000
In 0.5000 0.0000 0.5000
In 0.5000 0.5000 0.7072
Ga 0.5000 0.0000 0.8898
Ga 0.0000 0.5000 0.8898
Ga 0.5000 0.0000 0.1102
Ga 0.0000 0.5000 0.1102
Tm 0.0000 0.0000 0.7142
Tm 0.0000 0.0000 0.2858
Co 0.0000 0.0000 0.0000

! Tm2In6Ga2Co (PBE, optimized geometry); values from VASP
! - magnetization (μB per formula unit) = 0.01
! - distance to the lowest polymorph of the same formula (eV per atom) = 0.009
! - electronic total energy (eV per atom) = -3.79
! - volume (Å³ per cell) = 241
&SYSTEM
  ibrav = 0, nat = 11, ntyp = 4
/
ATOMIC_SPECIES
In 114.82 In.upf
Tm 168.93 Tm.upf
Ga 69.72 Ga.upf
Co 58.93 Co.upf
CELL_PARAMETERS angstrom
4.4737 0.0000 0.0000
0.0000 4.4737 0.0000
0.0000 0.0000 12.0348
ATOMIC_POSITIONS crystal
In 0.0000 0.5000 0.5000
In 0.0000 0.5000 0.1223
In 0.0000 0.5000 0.8777
In 0.5000 0.0000 0.8777
In 0.5000 0.0000 0.5000
In 0.5000 0.0000 0.1223
Tm 0.0000 0.0000 0.3088
Tm 0.0000 0.0000 0.6912
Ga 0.5000 0.5000 0.6928
Ga 0.5000 0.5000 0.3072
Co 0.0000 0.0000 0.0000